Entry 1:
Crystalline YAlF2 at its relaxed geometry, computed with PBE.

Lattice parameters (Å, degrees): 7.7391 7.7391 7.7391 141.40 141.40 55.74
Fractional coordinates of all 8 atoms:
F: 0.8034 0.1250 0.1784
Al: 0.2500 0.7500 0.5000
Y: 0.7500 0.2500 0.5000
F: 0.9466 0.6250 0.8216
F: 0.3750 0.1966 0.3216
Y: 0.0000 0.0000 0.0000
Al: 0.5000 0.5000 0.0000
F: 0.8750 0.0534 0.6784

Calculated values
Space group ... No. 122
Distance to the lowest polymorph of the same formula ... 0 meV per atom
Raw formation energy ... -2.05 eV/atom



Entry 2:
Crystalline Ho2Er5Zr at its relaxed geometry, computed with PBE.

Lattice parameters (Å, degrees): 5.4492 6.4467 15.1750 90.00 90.00 115.00
Fractional coordinates of all 16 atoms:
Er: 0.5361 0.0723 0.2500
Er: 0.9200 0.8400 0.9001
Ho: 0.2210 0.4420 0.8657
Er: 0.3783 0.7567 0.0515
Er: 0.6217 0.2433 0.5515
Ho: 0.7790 0.5580 0.3657
Zr: 0.2714 0.5429 0.2500
Zr: 0.7286 0.4571 0.7500
Er: 0.0800 0.1600 0.4001
Ho: 0.7790 0.5580 0.1343
Er: 0.3783 0.7567 0.4485
Ho: 0.2210 0.4420 0.6343
Er: 0.6217 0.2433 0.9485
Er: 0.9200 0.8400 0.5999
Er: 0.4639 0.9277 0.7500
Er: 0.0800 0.1600 0.0999

Calculated values
Space group ... No. 63
Energy of formation ... 0.134 eV per atom



Entry 3:
Crystalline Pa2Al2Si4Os at its relaxed geometry, computed with PBE.

Lattice parameters (Å, degrees): 6.0101 6.0101 6.0101 91.88 118.92 118.92
Fractional coordinates of all 9 atoms:
Al: 0.0000 0.2925 0.2925
Al: 0.0000 0.7075 0.7075
Pa: 0.5000 0.7500 0.2500
Pa: 0.5000 0.2500 0.7500
Os: 0.0000 0.0000 0.0000
Si: 0.4418 0.7209 0.7209
Si: 0.5582 0.2791 0.2791
Si: 0.0000 0.7209 0.2791
Si: 0.0000 0.2791 0.7209

Calculated values
Space group ... No. 139
Raw formation energy ... -0.45 eV/atom



Entry 4:
Crystalline Mn3Ru4 at its relaxed geometry, computed with PBE.

Lattice parameters (Å, degrees): 12.8770 12.8770 12.8770 168.20 168.20 16.72
Fractional coordinates of all 7 atoms:
Ru: 0.1487 0.1487 0.0000
Mn: 0.2811 0.2811 0.0000
Mn: 0.0000 0.0000 0.0000
Ru: 0.8513 0.8513 0.0000
Ru: 0.4287 0.4287 0.0000
Ru: 0.5713 0.5713 0.0000
Mn: 0.7189 0.7189 0.0000

Calculated values
Space group ... No. 139
Energy of formation ... 0.129 eV per atom



Entry 5:
Crystalline HoMg2Co9 at its relaxed geometry, computed with PBE.

Lattice parameters (Å, degrees): 4.8790 4.8790 8.3449 73.00 73.00 60.00
Fractional coordinates of all 12 atoms:
Co: 0.5000 0.5000 0.5000
Co: 0.5881 0.5881 0.7465
Ho: 0.0000 0.0000 0.0000
Co: 0.5881 0.0772 0.7465
Co: 0.3361 0.3361 0.9916
Co: 0.6639 0.6639 0.0084
Co: 0.0772 0.5881 0.7465
Co: 0.4119 0.9228 0.2535
Co: 0.4119 0.4119 0.2535
Mg: 0.1434 0.1434 0.5699
Mg: 0.8566 0.8566 0.4301
Co: 0.9228 0.4119 0.2535

Calculated values
Space group ... No. 166
Energy of formation ... -0.084 eV per atom



Entry 6:
Crystalline PmDyTmCu at its relaxed geometry, computed with PBE.

Lattice parameters (Å, degrees): 3.4933 3.4933 8.6821 90.00 90.00 90.00
Fractional coordinates of all 4 atoms:
Dy: 0.5000 0.5000 0.7651
Pm: 0.0000 0.0000 0.0746
Cu: 0.0000 0.0000 0.5654
Tm: 0.5000 0.5000 0.3796

Calculated values
Space group ... No. 99
Energy of formation ... -0.109 eV per atom